No. 1
{"formula": "Cs2LiWF6", "functional": "PBE with a Hubbard U", "state": "relaxed", "energy_ev_per_atom": -4.990, "spacegroup": "Pmmn (59)", "dos_ef_per_ev_atom": 0.00, "lattice_angstrom": [[-1.008, 2.478, 5.954], [5.463, -3.484, 2.375], [4.811, 6.310, -1.811]], "species": ["Cs", "Cs", "Cs", "Cs", "Li", "Li", "W", "W", "F", "F", "F", "F", "F", "F", "F", "F", "F", "F", "F", "F"], "frac_coords": [[0.500, 0.782, 0.259], [0.000, 0.218, 0.759], [0.500, 0.782, 0.741], [0.000, 0.218, 0.241], [0.000, 0.642, 0.500], [0.500, 0.358, 0.000], [0.500, 0.283, 0.500], [0.000, 0.717, 0.000], [0.500, 0.280, 0.237], [0.500, 0.280, 0.763], [0.000, 0.720, 0.263], [0.000, 0.720, 0.737], [0.278, 0.061, 0.500], [0.722, 0.061, 0.500], [0.259, 0.495, 0.500], [0.741, 0.495, 0.500], [0.759, 0.505, 0.000], [0.241, 0.505, 0.000], [0.222, 0.939, 0.000], [0.778, 0.939, 0.000]]}

No. 2
{"formula": "CsLi2WF8", "functional": "PBE with a Hubbard U", "state": "relaxed", "energy_ev_per_atom": -4.938, "spacegroup": "R-3m (166)", "lattice_angstrom": [[-5.289, -0.007, -1.949], [-2.501, -4.869, -1.347], [-5.182, -2.240, 5.921]], "species": ["Cs", "Li", "Li", "W", "F", "F", "F", "F", "F", "F", "F", "F"], "frac_coords": [[0.000, 0.000, 0.000], [0.737, 0.737, 0.788], [0.263, 0.263, 0.212], [0.500, 0.500, 0.500], [0.661, 0.661, 0.018], [0.339, 0.339, 0.982], [0.380, 0.380, 0.360], [0.620, 0.620, 0.640], [0.120, 0.620, 0.640], [0.380, 0.880, 0.360], [0.880, 0.380, 0.360], [0.620, 0.120, 0.640]]}

Q: What is the formula in the first record?
A: Cs2LiWF6

Q: What is the formula in the first record?
A: Cs2LiWF6